[1]
Compound: ZrCdAg
Source: Alexandria
Functional: SCAN
Structure: PBEsol geometry

The space group is I4mm (No. 107) and the conventional cell measures 3.026, 3.026 and 12.539 Å, with angles of 90.00, 90.00 and 90.00 degrees. The distinct sites, in fractional coordinates, are Zr at (0.000, 0.000, 0.000), Cd at (0.000, 0.000, 0.322) and Ag at (0.000, 0.000, 0.665).

Its energy relative to the elements is -0.1112 eV per atom.


[2]
Compound: Ru3CCl
Source: Alexandria
Functional: SCAN
Structure: PBEsol geometry

The space group is Pm-3m (No. 221) and the conventional cell measures 4.042, 4.042 and 4.042 Å, with angles of 90.00, 90.00 and 90.00 degrees. The distinct sites, in fractional coordinates, are Ru at (0.000, 0.000, 0.500), C at (0.000, 0.000, 0.000) and Cl at (0.500, 0.500, 0.500).

The formation energy without anion corrections is 0.9883 eV/atom.


[3]
Compound: AlPIr2
Source: Alexandria
Functional: SCAN
Structure: PBEsol geometry

The space group is Pmmm (No. 47) and the conventional cell measures 2.839, 4.089 and 4.820 Å, with angles of 90.00, 90.00 and 90.00 degrees. The distinct sites, in fractional coordinates, are Al at (0.000, 0.000, 0.000), P at (0.500, 0.000, 0.500), Ir at (0.000, 0.500, 0.500) and Ir at (0.500, 0.500, 0.000).

Its energy relative to the elements is -0.1191 eV per atom. As for the offset from the most stable computed form: 373 meV per atom.


[4]
Compound: MgTa2Be
Source: Alexandria
Functional: SCAN
Structure: PBEsol geometry

The space group is Fm-3m (No. 225) and the conventional cell measures 6.276, 6.276 and 6.276 Å, with angles of 90.00, 90.00 and 90.00 degrees. The distinct sites, in fractional coordinates, are Mg at (0.000, 0.000, 0.000), Ta at (0.250, 0.250, 0.250) and Be at (0.000, 0.000, 0.500).

Its energy relative to the elements is 0.5595 eV per atom. As for the offset from the most stable computed form: 231 meV per atom.


[5]
Compound: LiY3Pt
Source: Alexandria
Functional: SCAN
Structure: PBEsol geometry

The space group is Pm-3m (No. 221) and the conventional cell measures 4.905, 4.905 and 4.905 Å, with angles of 90.00, 90.00 and 90.00 degrees. The distinct sites, in fractional coordinates, are Li at (0.000, 0.000, 0.000), Y at (0.000, 0.000, 0.500) and Pt at (0.500, 0.500, 0.500).

Its energy relative to the elements is 0.4503 eV per atom.


[6]
Compound: Ba2CdPt
Source: Alexandria
Functional: SCAN
Structure: PBEsol geometry

The space group is R-3m (No. 166, hexagonal axes) and the conventional cell measures 4.4765, 4.4765 and 25.5019 Å, with angles of 90.00, 90.00 and 120.00 degrees. The distinct sites, in fractional coordinates, are Ba at (0.0000, 0.0000, 0.2337), Cd at (0.0000, 0.0000, 0.0000) and Pt at (0.0000, 0.0000, 0.5000).

Its energy relative to the elements is -0.5423 eV per atom.


[7]
Compound: MnP2F
Source: Alexandria
Functional: SCAN
Structure: PBEsol geometry

The space group is Fm-3m (No. 225) and the conventional cell measures 5.691, 5.691 and 5.691 Å, with angles of 90.00, 90.00 and 90.00 degrees. The distinct sites, in fractional coordinates, are Mn at (0.000, 0.000, 0.000), P at (0.250, 0.250, 0.250) and F at (0.000, 0.000, 0.500).

The formation energy without anion corrections is -0.2881 eV/atom. As for the offset from the most stable computed form: 0 meV per atom.


[8]
Compound: CdGaO2F
Source: Alexandria
Functional: SCAN
Structure: PBEsol geometry

The space group is P4/mmm (No. 123) and the conventional cell measures 3.847, 3.847 and 3.802 Å, with angles of 90.00, 90.00 and 90.00 degrees. The distinct sites, in fractional coordinates, are Cd at (0.000, 0.000, 0.000), Ga at (0.500, 0.500, 0.500), O at (0.000, 0.500, 0.500) and F at (0.500, 0.500, 0.000).

The formation energy without anion corrections is -1.6854 eV/atom.